Entry 1:
12
Lattice="3.270 0.000 0.000 -1.635 2.832 0.000 0.000 0.000 34.794" Properties=species:S:1:pos:R:3 comment="PBE TiIn2Bi, relaxed" spacegroup="R-3m (166)" total_energy_ev_per_atom=-3.90 pbc="T T T"
Ti 0.000 0.000 0.000
Ti 0.000 1.888 23.196
Ti 1.635 0.944 11.598
In 0.000 0.000 2.823
In 0.000 0.000 31.971
In 0.000 1.888 20.373
In 0.000 1.888 26.019
In 1.635 0.944 8.775
In 1.635 0.944 14.421
Bi 0.000 0.000 17.397
Bi 0.000 1.888 5.799
Bi 1.635 0.944 28.995



Entry 2:
3
Lattice="5.140 0.000 0.000 -2.570 4.452 0.000 0.000 0.000 3.262" Properties=species:S:1:pos:R:3 comment="PBE TiInBi, relaxed" spacegroup="P3m1 (156)" total_energy_ev_per_atom=-4.57 relative_energy_mev_per_atom=344 pbc="T T T"
Ti 0.000 0.000 0.000
In 2.570 1.484 0.514
Bi 0.000 2.968 1.834



Entry 3:
4
Lattice="3.366 0.000 0.000 0.000 3.366 0.000 0.000 0.000 9.516" Properties=species:S:1:pos:R:3 comment="PBE TiInBi2, relaxed" spacegroup="P4/mmm (123)" total_energy_ev_per_atom=-4.58 pbc="T T T"
Ti 0.000 0.000 0.000
In 0.000 0.000 4.758
Bi 1.683 1.683 1.985
Bi 1.683 1.683 7.530



The calculation returns the following energy relative to the elements values, one per record and in order: 410.5; 263.9; 14.1 meV per atom.
The calculation returns the following magnetization values, one per record and in order: 0.00; 1.90; 0.00 μB per formula unit.